TaCu2Re | GGA-PBE | optimized geometry

Geometry as extended XYZ:
```
4
Lattice="4.639 -1.435 0.000 4.639 1.435 0.000 -0.916 0.000 4.400" Properties=species:S:1:pos:R:3 pbc="T T T"
Ta 0.000 0.000 0.000
Cu 1.605 0.000 3.262
Cu 6.756 0.000 1.138
Re 4.181 0.000 2.200
```

Values from the calculation:
DFT total energy: -31.7 eV for the cell shown
spin magnetization: 0.000 μB/atom
energy of formation from the pure elements: 190 meV/atom
calculated volume: 14.6 Å³/atom
SG: C2/m, No. 12